*a*
Here is a relaxed structure of Ti3NbSn from Alexandria. Energies are from PBE-GGA.

Unit cell a=4.9206 b=4.9206 c=4.9206 alpha=90.00 beta=90.00 gamma=90.00
Space group Pm-3m (No. 221)
Inequivalent atoms, fractional coordinates:
Ti 0.0000 0.0000 0.5000
Nb 0.5000 0.5000 0.5000
Sn 0.0000 0.0000 0.0000

Theoretical density: 4.95 g cm⁻³
Crystal system: cubic
Total moment: 0.83 Bohr magnetons per cell


*b*
Here is a relaxed structure of Ti3NbSn from Alexandria. Energies are from PBE-GGA.

Unit cell a=4.6885 b=5.8712 c=6.7281 alpha=90.00 beta=90.00 gamma=90.00
Space group Pmmn (No. 59, origin choice 2)
Inequivalent atoms, fractional coordinates:
Ti 0.2500 0.0357 0.2469
Ti 0.2500 0.7500 0.9312
Nb 0.2500 0.7500 0.5647
Sn 0.2500 0.2500 0.7732

Theoretical density: 6.37 g cm⁻³
Crystal system: orthorhombic
Total moment: 0.00 Bohr magnetons per cell


Most stable = *b*


*a*
Here is a relaxed structure of Ti2Nb2Sn from Alexandria. Energies are from PBE-GGA.

Unit cell a=7.2966 b=7.2966 c=3.6185 alpha=90.00 beta=90.00 gamma=90.00
Space group P4/mbm (No. 127)
Inequivalent atoms, fractional coordinates:
Ti 0.1731 0.3269 0.0000
Nb 0.1272 0.6272 0.5000
Sn 0.0000 0.0000 0.5000

Theoretical density: 6.90 g cm⁻³
Crystal system: tetragonal
Total moment: 0.00 Bohr magnetons per cell


*b*
Here is a relaxed structure of Ti2Nb2Sn from Alexandria. Energies are from PBE-GGA.

Unit cell a=13.8094 b=4.5367 c=2.9791 alpha=90.00 beta=96.70 gamma=90.00
Space group C2/m (No. 12)
Inequivalent atoms, fractional coordinates:
Ti 0.1058 0.0000 0.4411
Nb 0.2060 0.5000 0.8362
Sn 0.0000 0.5000 0.0000

Theoretical density: 7.17 g cm⁻³
Crystal system: monoclinic
Total moment: 0.00 Bohr magnetons per cell


*c*
Here is a relaxed structure of Ti2Nb2Sn from Alexandria. Energies are from PBE-GGA.

Unit cell a=7.1794 b=7.1794 c=3.5951 alpha=90.00 beta=90.00 gamma=90.00
Space group P4/mbm (No. 127)
Inequivalent atoms, fractional coordinates:
Ti 0.1271 0.3729 0.0000
Nb 0.1757 0.6757 0.5000
Sn 0.0000 0.0000 0.0000

Theoretical density: 7.17 g cm⁻³
Crystal system: tetragonal
Total moment: 0.00 Bohr magnetons per cell


Most stable = *b*


*a*
Here is a relaxed structure of TiNb3Sn from Alexandria. Energies are from PBE-GGA.

Unit cell a=5.0125 b=5.0125 c=5.0125 alpha=90.00 beta=90.00 gamma=90.00
Space group Pm-3m (No. 221)
Inequivalent atoms, fractional coordinates:
Ti 0.0000 0.0000 0.0000
Nb 0.0000 0.5000 0.5000
Sn 0.5000 0.5000 0.5000

Theoretical density: 5.87 g cm⁻³
Crystal system: cubic
Total moment: 0.00 Bohr magnetons per cell


*b*
Here is a relaxed structure of TiNb3Sn from Alexandria. Energies are from PBE-GGA.

Unit cell a=13.3316 b=5.5919 c=5.1457 alpha=90.00 beta=90.00 gamma=90.00
Space group Pnna (No. 52)
Inequivalent atoms, fractional coordinates:
Ti 0.0510 0.2500 0.2500
Nb 0.0466 0.7500 0.2500
Nb 0.1422 0.0007 0.7247
Sn 0.2500 0.0000 0.2074

Theoretical density: 7.71 g cm⁻³
Crystal system: orthorhombic
Total moment: 0.00 Bohr magnetons per cell


*c*
Here is a relaxed structure of TiNb3Sn from Alexandria. Energies are from PBE-GGA.

Unit cell a=4.7334 b=4.7334 c=4.7334 alpha=90.00 beta=90.00 gamma=90.00
Space group Pm-3m (No. 221)
Inequivalent atoms, fractional coordinates:
Ti 0.0000 0.0000 0.0000
Nb 0.0000 0.0000 0.5000
Sn 0.5000 0.5000 0.5000

Theoretical density: 6.97 g cm⁻³
Crystal system: cubic
Total moment: 0.00 Bohr magnetons per cell


Most stable = *b*


*a*
Here is a relaxed structure of Ti3Nb2Sn2 from Alexandria. Energies are from PBE-GGA.

Unit cell a=4.7520 b=19.1431 c=2.8715 alpha=90.00 beta=90.00 gamma=90.00
Space group Cmmm (No. 65)
Inequivalent atoms, fractional coordinates:
Ti 0.0000 0.0000 0.0000
Ti 0.0000 0.2845 0.0000
Nb 0.0000 0.4266 0.0000
Sn 0.0000 0.1441 0.5000

Theoretical density: 7.21 g cm⁻³
Crystal system: orthorhombic
Total moment: 0.00 Bohr magnetons per cell


*b*
Here is a relaxed structure of Ti3Nb2Sn2 from Alexandria. Energies are from PBE-GGA.

Unit cell a=14.5754 b=2.9730 c=6.9139 alpha=90.00 beta=117.39 gamma=90.00
Space group C2/m (No. 12)
Inequivalent atoms, fractional coordinates:
Ti 0.0000 0.0000 0.0000
Ti 0.2132 0.0000 0.2752
Nb 0.1439 0.0000 0.8289
Sn 0.0737 0.5000 0.3978

Theoretical density: 7.08 g cm⁻³
Crystal system: monoclinic
Total moment: 0.00 Bohr magnetons per cell


Most stable = *b*


*a*
Here is a relaxed structure of Ti3NbSn2 from Alexandria. Energies are from PBE-GGA.

Unit cell a=7.6639 b=3.2830 c=18.0948 alpha=90.00 beta=90.00 gamma=90.00
Space group Pnma (No. 62)
Inequivalent atoms, fractional coordinates:
Ti 0.0139 0.2500 0.1563
Ti 0.1266 0.2500 0.3014
Ti 0.1355 0.7500 0.0402
Nb 0.0604 0.7500 0.5630
Sn 0.1839 0.2500 0.6918
Sn 0.2399 0.2500 0.9199

Theoretical density: 6.91 g cm⁻³
Crystal system: orthorhombic
Total moment: 0.02 Bohr magnetons per cell


*b*
Here is a relaxed structure of Ti3NbSn2 from Alexandria. Energies are from PBE-GGA.

Unit cell a=4.4338 b=13.4376 c=3.7238 alpha=90.00 beta=90.00 gamma=90.00
Space group Cmmm (No. 65)
Inequivalent atoms, fractional coordinates:
Ti 0.0000 0.0000 0.0000
Ti 0.0000 0.3327 0.0000
Nb 0.0000 0.5000 0.5000
Sn 0.0000 0.1572 0.5000

Theoretical density: 7.09 g cm⁻³
Crystal system: orthorhombic
Total moment: 0.00 Bohr magnetons per cell


Most stable = *b*


*a*
Here is a relaxed structure of Ti2Nb3Sn2 from Alexandria. Energies are from PBE-GGA.

Unit cell a=10.0753 b=3.5671 c=7.3609 alpha=90.00 beta=95.21 gamma=90.00
Space group C2/m (No. 12)
Inequivalent atoms, fractional coordinates:
Ti 0.1450 0.0000 0.4217
Nb 0.0000 0.0000 0.0000
Nb 0.1998 0.5000 0.1355
Sn 0.0824 0.5000 0.7172

Theoretical density: 7.71 g cm⁻³
Crystal system: monoclinic
Total moment: 0.00 Bohr magnetons per cell


*b*
Here is a relaxed structure of Ti2Nb3Sn2 from Alexandria. Energies are from PBE-GGA.

Unit cell a=8.3125 b=8.3125 c=8.3125 alpha=90.00 beta=90.00 gamma=90.00
Space group I2_13 (No. 199)
Inequivalent atoms, fractional coordinates:
Ti 0.1820 0.3180 0.6820
Nb 0.0000 0.2500 0.2615
Sn 0.0068 0.0068 0.0068

Theoretical density: 7.08 g cm⁻³
Crystal system: cubic
Total moment: 0.00 Bohr magnetons per cell


Most stable = *a*